KAlAs3 | PBEsol | relaxed

Geometry as POSCAR:
```
KAlAs3
1.0
5.269 0.000 0.000
0.000 5.269 0.000
0.000 0.000 5.269
As K Al
3 1 1
Cartesian
0.000 2.635 0.000 As
0.000 0.000 2.635 As
2.635 0.000 0.000 As
0.000 0.000 0.000 K
2.635 2.635 2.635 Al
```

Output
**M_tot**: 0.000 μB per formula unit
**Formation enthalpy at 0 K**: 1605 meV per atom